No. 1
{"formula": "TmPu3H8", "functional": "PBE", "state": "relaxed", "energy_ev_per_atom": -6.637, "dos_ef_per_ev_atom": 1.812, "cell": [[5.233, 0.000, 0.000], [0.000, 5.233, 0.000], [0.000, 0.000, 5.233]], "species": ["Tm", "Pu", "Pu", "Pu", "H", "H", "H", "H", "H", "H", "H", "H"], "frac_coords": [[0.000, 0.000, 0.000], [0.000, 0.500, 0.500], [0.500, 0.000, 0.500], [0.500, 0.500, 0.000], [0.243, 0.243, 0.243], [0.243, 0.243, 0.757], [0.243, 0.757, 0.243], [0.243, 0.757, 0.757], [0.757, 0.243, 0.243], [0.757, 0.243, 0.757], [0.757, 0.757, 0.243], [0.757, 0.757, 0.757]]}

***

No. 2
{"formula": "Tm2PuH8", "functional": "PBE", "state": "relaxed", "energy_ev_per_atom": -5.112, "dos_ef_per_ev_atom": 0.770, "cell": [[-1.783, 2.627, 5.345], [1.783, -2.627, 5.345], [1.783, 2.627, -5.345]], "species": ["Tm", "Tm", "Pu", "H", "H", "H", "H", "H", "H", "H", "H"], "frac_coords": [[0.172, 0.172, 0.000], [0.828, 0.828, 0.000], [0.500, 0.500, 0.000], [0.070, 0.337, 0.733], [0.220, 0.000, 0.220], [0.345, 0.845, 0.500], [0.397, 0.663, 0.733], [0.603, 0.337, 0.267], [0.655, 0.155, 0.500], [0.780, 0.000, 0.780], [0.930, 0.663, 0.267]]}

***

No. 3
{"formula": "TmPu2H", "functional": "PBE", "state": "relaxed", "relative_energy_mev_per_atom": 23, "dos_ef_per_ev_atom": 2.446, "cell": [[1.841, 1.063, 6.268], [-1.841, 1.063, 6.268], [0.000, -2.126, 6.268]], "species": ["Tm", "Pu", "Pu", "H"], "frac_coords": [[0.000, 0.000, 0.000], [0.196, 0.196, 0.196], [0.804, 0.804, 0.804], [0.500, 0.500, 0.500]]}

***

No. 4
{"formula": "Tm2PuH", "functional": "PBE", "state": "relaxed", "relative_energy_mev_per_atom": 0, "dos_ef_per_ev_atom": 2.634, "cell": [[1.690, 0.976, 9.183], [-1.690, 0.976, 9.183], [0.000, -1.951, 9.183]], "species": ["Tm", "Tm", "Pu", "H"], "frac_coords": [[0.118, 0.118, 0.118], [0.882, 0.882, 0.882], [0.000, 0.000, 0.000], [0.500, 0.500, 0.500]]}

***

No. 5
{"formula": "TmPu2H", "functional": "PBE", "state": "relaxed", "relative_energy_mev_per_atom": 0, "dos_ef_per_ev_atom": 2.833, "cell": [[3.182, 0.000, 0.000], [0.000, 3.182, 0.000], [0.000, 0.000, 8.459]], "species": ["Tm", "Pu", "Pu", "H"], "frac_coords": [[0.000, 0.000, 0.000], [0.500, 0.500, 0.323], [0.500, 0.500, 0.677], [0.000, 0.000, 0.500]]}

***

No. 6
{"formula": "Tm3PuH", "functional": "PBE", "state": "relaxed", "energy_ev_per_atom": -6.285, "dos_ef_per_ev_atom": 3.196, "cell": [[4.869, 0.000, 0.000], [0.000, 4.869, 0.000], [0.000, 0.000, 4.869]], "species": ["Tm", "Tm", "Tm", "Pu", "H"], "frac_coords": [[0.000, 0.000, 0.500], [0.000, 0.500, 0.000], [0.500, 0.000, 0.000], [0.500, 0.500, 0.500], [0.000, 0.000, 0.000]]}

***

Quick rundown of M_tot, same order as above: 1.3710 0.4918 0.1624 1.5337 2.9720 1.2213 μB per atom